LaMo2As | PBEsol | relaxed

Structure (POSCAR):
```
LaMo2As
1.0
3.229 0.000 0.000
0.000 3.229 0.000
0.000 0.000 7.291
Mo As La
2 1 1
Direct
0.000 0.000 0.058 Mo
0.500 0.500 0.248 Mo
0.000 0.000 0.440 As
0.500 0.500 0.754 La
```

V ... 76.0 Å³ per cell
SG ... P4mm
Magnetization ... 0.00 μB per formula unit
E ... -0.6336 Ry per atom
Energy of formation from the pure elements ... -0.123 eV per atom